{"formula": "Ho8Tl2Co3", "functional": "PBE-GGA", "state": "optimized geometry", "e_tot_ev_per_atom": -4.920, "rho_g_cm3": 8.76, "delta_e_f_ev_per_atom": -0.099, "cell": [[-3.820, 0.306, -5.231], [-1.802, -6.944, 0.909], [-4.056, 5.512, 5.304]], "species": ["Ho", "Ho", "Ho", "Ho", "Ho", "Ho", "Ho", "Ho", "Tl", "Tl", "Co", "Co", "Co"], "fractional_positions": [[0.890, 0.589, 0.177], [0.110, 0.411, 0.823], [0.875, 0.125, 0.250], [0.125, 0.875, 0.750], [0.628, 0.658, 0.811], [0.628, 0.152, 0.811], [0.372, 0.848, 0.189], [0.372, 0.342, 0.189], [0.352, 0.257, 0.515], [0.648, 0.743, 0.485], [0.500, 0.000, 0.000], [0.000, 0.204, 0.000], [0.000, 0.796, 0.000]]}



{"formula": "Ho8Tl2Co", "functional": "PBE-GGA", "state": "optimized geometry", "e_tot_ev_per_atom": -4.549, "rho_g_cm3": 9.85, "delta_e_f_ev_per_atom": -0.143, "cell": [[-1.050, -0.993, 5.073], [-0.719, -6.509, -1.422], [9.208, 2.703, -0.307]], "species": ["Ho", "Ho", "Ho", "Ho", "Ho", "Ho", "Ho", "Ho", "Tl", "Tl", "Co"], "fractional_positions": [[0.411, 0.578, 0.822], [0.643, 0.967, 0.286], [0.795, 0.694, 0.589], [0.984, 0.210, 0.967], [0.205, 0.306, 0.411], [0.357, 0.033, 0.714], [0.589, 0.422, 0.178], [0.016, 0.790, 0.033], [0.826, 0.273, 0.651], [0.174, 0.727, 0.349], [0.500, 0.000, 0.000]]}